First-principles (PBE) data for VFe2SbAs after structural relaxation, as listed in the Alexandria database.

Calculated values
As for the space-group type: No. 123. As for the uncorrected formation energy: 1.056 eV/atom.

Structure (POSCAR):
```
VFe2SbAs
1.0
4.407 0.000 0.000
0.000 5.041 0.000
0.000 0.000 4.407
Sb As Fe V
1 1 2 1
Cartesian
0.000 2.521 0.000
2.204 2.521 2.204
0.000 0.000 2.204
2.204 0.000 0.000
0.000 0.000 0.000
```